CaMg2Ni | PBE | optimized geometry

a b c (Å): 5.655 7.980 15.539
angles (deg): 90.00 90.00 90.00
Element x y z (fractional)
Ni (0.760, 0.750, 0.188)
Ni (0.260, 0.250, 0.312)
Ni (0.032, 0.750, 0.932)
Ni (0.468, 0.750, 0.432)
Ni (0.968, 0.250, 0.068)
Ni (0.532, 0.250, 0.568)
Ni (0.240, 0.250, 0.812)
Ni (0.740, 0.750, 0.688)
Ca (0.536, 0.750, 0.863)
Ca (0.732, 0.250, 0.894)
Ca (0.232, 0.750, 0.606)
Ca (0.768, 0.250, 0.394)
Ca (0.964, 0.750, 0.363)
Ca (0.464, 0.250, 0.137)
Ca (0.268, 0.750, 0.106)
Ca (0.036, 0.250, 0.637)
Mg (0.776, 0.559, 0.043)
Mg (0.526, 0.058, 0.712)
Mg (0.224, 0.059, 0.957)
Mg (0.974, 0.058, 0.212)
Mg (0.224, 0.441, 0.957)
Mg (0.776, 0.941, 0.043)
Mg (0.276, 0.441, 0.457)
Mg (0.474, 0.558, 0.288)
Mg (0.026, 0.942, 0.788)
Mg (0.724, 0.941, 0.543)
Mg (0.026, 0.558, 0.788)
Mg (0.474, 0.942, 0.288)
Mg (0.974, 0.442, 0.212)
Mg (0.276, 0.059, 0.457)
Mg (0.724, 0.559, 0.543)
Mg (0.526, 0.442, 0.712)

Values from the calculation:
Calculated volume = 21.91 Å³ per atom
Density = 2.79 Mg/m³
E = -0.2130 Ry/atom
DFT formation energy = -0.15 eV/atom


RbHo2HgTe4 | PBE | optimized geometry

a b c (Å): 4.457 7.945 16.838
angles (deg): 90.00 90.00 106.29
Element x y z (fractional)
Ho (0.377, 0.754, 0.931)
Ho (0.623, 0.246, 0.431)
Ho (0.623, 0.246, 0.069)
Ho (0.377, 0.754, 0.569)
Te (0.261, 0.521, 0.412)
Te (0.560, 0.120, 0.250)
Te (0.000, 0.000, 0.000)
Te (0.739, 0.479, 0.912)
Te (0.739, 0.479, 0.588)
Te (0.440, 0.880, 0.750)
Te (0.000, 0.000, 0.500)
Te (0.261, 0.521, 0.088)
Hg (0.808, 0.617, 0.750)
Hg (0.192, 0.383, 0.250)
Rb (0.125, 0.250, 0.750)
Rb (0.875, 0.750, 0.250)

Values from the calculation:
Calculated volume = 35.77 Å³ per atom
Density = 6.54 Mg/m³
E = -0.2827 Ry/atom


Ce2Zn4Si3Ag | PBE | optimized geometry

a b c (Å): 4.190 4.190 10.550
angles (deg): 90.00 90.00 90.00
Each line ends with the local moment (μB).
Element x y z (fractional)
Si (0.000, 0.500, 0.136)  -0.01
Si (0.000, 0.000, 0.500)  0.00
Si (0.500, 0.000, 0.864)  -0.01
Ce (0.500, 0.000, 0.244)  0.78
Ce (0.000, 0.500, 0.756)  0.78
Zn (0.500, 0.000, 0.638)  0.01
Zn (0.500, 0.500, 0.000)  0.00
Zn (0.000, 0.500, 0.362)  0.01
Zn (0.000, 0.000, 0.000)  0.01
Ag (0.500, 0.500, 0.500)  0.01

Values from the calculation:
Calculated volume = 18.52 Å³ per atom
Density = 6.58 Mg/m³
E = -0.2894 Ry/atom


Nb5Si2Ge | PBE | optimized geometry

a b c (Å): 6.642 6.642 7.621
angles (deg): 115.83 115.83 90.00
Element x y z (fractional)
Nb (0.000, 0.000, 0.000)
Nb (0.983, 0.483, 0.296)
Nb (0.187, 0.017, 0.704)
Nb (0.483, 0.313, 0.296)
Nb (0.517, 0.687, 0.704)
Nb (0.813, 0.983, 0.296)
Nb (0.313, 0.813, 0.296)
Nb (0.017, 0.517, 0.704)
Nb (0.500, 0.500, 0.000)
Nb (0.687, 0.187, 0.704)
Ge (0.750, 0.750, 0.500)
Ge (0.250, 0.250, 0.500)
Si (0.630, 0.130, 0.000)
Si (0.130, 0.370, 0.000)
Si (0.870, 0.630, 0.000)
Si (0.370, 0.870, 0.000)

Values from the calculation:
Calculated volume = 16.55 Å³ per atom
Density = 7.44 Mg/m³
E = -0.6532 Ry/atom


ZrBe2Co2 | PBE | optimized geometry

a b c (Å): 6.542 6.542 2.691
angles (deg): 90.00 90.00 90.00
Element x y z (fractional)
Be (0.884, 0.616, 0.000)
Be (0.616, 0.116, 0.000)
Be (0.384, 0.884, 0.000)
Be (0.116, 0.384, 0.000)
Zr (0.000, 0.000, 0.000)
Zr (0.500, 0.500, 0.000)
Co (0.669, 0.831, 0.500)
Co (0.331, 0.169, 0.500)
Co (0.169, 0.669, 0.500)
Co (0.831, 0.331, 0.500)

Values from the calculation:
Calculated volume = 11.52 Å³ per atom
Density = 6.55 Mg/m³
E = -0.4583 Ry/atom
Distance to the lowest polymorph of the same formula = 0.38 eV per formula unit
DFT formation energy = -0.19 eV/atom


Tb8MgAl5 | PBE | optimized geometry

a b c (Å): 7.910 7.910 7.910
angles (deg): 109.63 109.15 109.63
Element x y z (fractional)
Tb (0.281, 0.237, 0.368)
Tb (0.632, 0.913, 0.869)
Tb (0.749, 0.238, 0.351)
Tb (0.114, 0.762, 0.511)
Tb (0.489, 0.602, 0.251)
Tb (0.956, 0.087, 0.719)
Tb (0.131, 0.763, 0.044)
Tb (0.649, 0.398, 0.886)
Mg (0.250, 0.500, 0.750)
Al (0.756, 0.621, 0.640)
Al (0.866, 0.884, 0.244)
Al (0.500, 0.000, 0.500)
Al (0.018, 0.379, 0.134)
Al (0.360, 0.116, 0.982)

Values from the calculation:
Calculated volume = 27.21 Å³ per atom
Density = 6.24 Mg/m³
E = -0.3116 Ry/atom
DFT formation energy = -0.14 eV/atom


Copy entry 1 word for word.
CaMg2Ni | PBE | optimized geometry

a b c (Å): 5.655 7.980 15.539
angles (deg): 90.00 90.00 90.00
Element x y z (fractional)
Ni (0.760, 0.750, 0.188)
Ni (0.260, 0.250, 0.312)
Ni (0.032, 0.750, 0.932)
Ni (0.468, 0.750, 0.432)
Ni (0.968, 0.250, 0.068)
Ni (0.532, 0.250, 0.568)
Ni (0.240, 0.250, 0.812)
Ni (0.740, 0.750, 0.688)
Ca (0.536, 0.750, 0.863)
Ca (0.732, 0.250, 0.894)
Ca (0.232, 0.750, 0.606)
Ca (0.768, 0.250, 0.394)
Ca (0.964, 0.750, 0.363)
Ca (0.464, 0.250, 0.137)
Ca (0.268, 0.750, 0.106)
Ca (0.036, 0.250, 0.637)
Mg (0.776, 0.559, 0.043)
Mg (0.526, 0.058, 0.712)
Mg (0.224, 0.059, 0.957)
Mg (0.974, 0.058, 0.212)
Mg (0.224, 0.441, 0.957)
Mg (0.776, 0.941, 0.043)
Mg (0.276, 0.441, 0.457)
Mg (0.474, 0.558, 0.288)
Mg (0.026, 0.942, 0.788)
Mg (0.724, 0.941, 0.543)
Mg (0.026, 0.558, 0.788)
Mg (0.474, 0.942, 0.288)
Mg (0.974, 0.442, 0.212)
Mg (0.276, 0.059, 0.457)
Mg (0.724, 0.559, 0.543)
Mg (0.526, 0.442, 0.712)

Values from the calculation:
Calculated volume = 21.91 Å³ per atom
Density = 2.79 Mg/m³
E = -0.2130 Ry/atom
DFT formation energy = -0.15 eV/atom